(1)
Below is a relaxed structure of HoThBi, with properties calculated at the PBE-GGA level.

space-group type	I4mm
E_form	-1.02	eV/f.u.
total magnetic moment	0.00	μB/f.u.
density of states at the Fermi level	0.97	states/eV/atom

Cell lengths 4.0533, 4.0533, 6.3569 Å; angles 108.59, 108.59, 90.00 degrees
Fractional positions:
Bi1 0.6091 0.6091 0.2181
Th1 0.2758 0.2758 0.5516
Ho1 0.9651 0.9651 0.9303

=====

(2)
Below is a relaxed structure of HoThBi2, with properties calculated at the PBE-GGA level.

space-group type	R-3m
E_form	-0.46	eV/f.u.
offset from the most stable computed form	0.583	eV per atom
total magnetic moment	0.00	μB/f.u.
density of states at the Fermi level	0.99	states/eV/atom

Cell lengths 3.5652, 3.5652, 12.0757 Å; angles 81.51, 81.51, 60.00 degrees
Fractional positions:
Bi1 0.0886 0.0886 0.7342
Bi2 0.9114 0.9114 0.2658
Th1 0.5000 0.5000 0.5000
Ho1 0.0000 0.0000 0.0000